[1]
Here is crystalline NdSm6Mg2 at its relaxed geometry from Alexandria via LeMat-Bulk. Energies are from PBE.

## Properties
DFT formation energy   0.0556 eV per atom
VASP energy   -3.97 eV/atom
Total magnetization   0.00 μB/cell

Cell lengths 16.8387, 11.7360, 5.8485 Å; angles 90.00, 98.31, 90.00 degrees
Last column: nearest neighbours and their distance in Å.
Space group C2/c (No. 15)
Symmetry-distinct sites (fractional):
Nd1 0.0000 0.1583 0.2500  8 Sm 3.34-3.62
Sm1 0.0636 0.3939 0.5426  3 Sm 3.28-3.46, 3 Mg 3.32-3.43, 1 Nd 3.34
Sm2 0.1090 0.1089 0.7939  5 Sm 3.34-3.69, 1 Mg 3.48, 3 Nd 3.48-3.62
Sm3 0.2337 0.1137 0.3552  5 Sm 3.34-3.63, 4 Mg 3.38-3.45
Mg1 0.1619 0.3599 0.0948  8 Sm 3.32-3.48



[2]
Here is crystalline Ce2CuGe3Ir4 at its relaxed geometry from Alexandria via LeMat-Bulk. Energies are from PBE.

## Properties
DFT formation energy   -0.6811 eV per atom
VASP energy   -7.21 eV/atom
Total magnetization   0.96 μB/cell

Cell lengths 4.1723, 4.1723, 10.4491 Å; angles 90.00, 90.00, 90.00 degrees
Last column: nearest neighbours and their distance in Å.
Space group P-4m2 (No. 115)
Symmetry-distinct sites (fractional):
Ce1 0.0000 0.5000 0.2423  8 Ir 3.15-3.41, 6 Ge 3.24-3.28, 2 Cu 3.28
Cu1 0.5000 0.5000 0.0000  4 Ir 2.53
Ge1 0.0000 0.0000 0.0000  4 Ir 2.53
Ge2 0.0000 0.5000 0.6302  5 Ir 2.44-2.49
Ir1 0.0000 0.0000 0.5000  4 Ge 2.49
Ir2 0.0000 0.5000 0.8633  3 Ge 2.44-2.53, 2 Cu 2.53
Ir3 0.5000 0.5000 0.5000  4 Ge 2.49



[3]
Here is crystalline NdDyAgRu at its relaxed geometry from Alexandria via LeMat-Bulk. Energies are from PBE.

## Properties
DFT formation energy   -0.2595 eV per atom
VASP energy   -5.63 eV/atom
Total magnetization   0.00 μB/cell

Cell lengths 7.1322, 7.1322, 7.1322 Å; angles 90.00, 90.00, 90.00 degrees
Last column: nearest neighbours and their distance in Å.
Space group F-43m (No. 216)
Symmetry-distinct sites (fractional):
Nd1 0.0000 0.0000 0.0000  4 Ru 3.09, 4 Ag 3.09
Dy1 0.0000 0.0000 0.5000  4 Ru 3.09, 4 Ag 3.09
Ag1 0.2500 0.2500 0.2500  4 Dy 3.09, 4 Nd 3.09
Ru1 0.2500 0.2500 0.7500  4 Dy 3.09, 4 Nd 3.09



[4]
Here is crystalline HgAsSe2Br at its relaxed geometry from Alexandria via LeMat-Bulk. Energies are from PBE.

## Properties
E_form (uncorrected)   0.786 eV per atom
VASP energy   -1.93 eV/atom
Total magnetization   0.82 μB/cell

Cell lengths 5.2997, 5.2997, 5.3412 Å; angles 90.00, 90.00, 90.00 degrees
Last column: nearest neighbours and their distance in Å.
Space group P4/mmm (No. 123)
Symmetry-distinct sites (fractional):
Hg1 0.0000 0.0000 0.0000  4 Se 2.65, 2 Br 2.67
As1 0.5000 0.5000 0.5000  4 Br 3.75, 8 Se 3.76
Se1 0.0000 0.5000 0.0000  2 Hg 2.65
Br1 0.0000 0.0000 0.5000  2 Hg 2.67



[5]
Here is crystalline Zn2SbIr at its relaxed geometry from Alexandria via LeMat-Bulk. Energies are from PBE.

## Properties
E_form (uncorrected)   0.248 eV per atom
VASP energy   -3.63 eV/atom
Total magnetization   0.00 μB/cell

Cell lengths 6.5015, 6.5015, 6.5015 Å; angles 90.00, 90.00, 90.00 degrees
Last column: nearest neighbours and their distance in Å.
Space group Fm-3m (No. 225)
Symmetry-distinct sites (fractional):
Zn1 0.2500 0.2500 0.2500  4 Ir 2.82, 4 Sb 2.82
Sb1 0.0000 0.0000 0.0000  8 Zn 2.82
Ir1 0.0000 0.0000 0.5000  8 Zn 2.82



[6]
Here is crystalline Cu2NiSb2 at its relaxed geometry from Alexandria via LeMat-Bulk. Energies are from PBE.

## Properties
E_form (uncorrected)   0.213 eV per atom
VASP energy   -4.23 eV/atom
Total magnetization   0.00 μB/cell

Cell lengths 6.7133, 6.7133, 3.8261 Å; angles 90.00, 90.00, 90.00 degrees
Last column: nearest neighbours and their distance in Å.
Space group P4/mbm (No. 127)
Symmetry-distinct sites (fractional):
Cu1 0.1308 0.3692 0.0000  1 Cu 2.48, 2 Ni 2.63, 2 Sb 2.64
Ni1 0.0000 0.0000 0.0000  4 Cu 2.63
Sb1 0.1775 0.6775 0.5000  6 Cu 2.64-2.84



[7]
Here is crystalline NaCaCu3 at its relaxed geometry from Alexandria via LeMat-Bulk. Energies are from PBE.

## Properties
DFT formation energy   0.6685 eV per atom
VASP energy   -2.45 eV/atom
Total magnetization   0.00 μB/cell

Cell lengths 4.8053, 4.8053, 4.8053 Å; angles 90.00, 90.00, 90.00 degrees
Last column: nearest neighbours and their distance in Å.
Space group Pm-3m (No. 221)
Symmetry-distinct sites (fractional):
Na1 0.0000 0.0000 0.0000  6 Cu 2.40
Ca1 0.5000 0.5000 0.5000  12 Cu 3.40
Cu1 0.0000 0.0000 0.5000  2 Na 2.40



[8]
Here is crystalline CaZnS at its relaxed geometry from Alexandria via LeMat-Bulk. Energies are from PBE.

## Properties
E_form (uncorrected)   -1.158 eV per atom
VASP energy   -3.63 eV/atom
Total magnetization   0.00 μB/cell

Cell lengths 3.9110, 3.9110, 8.8445 Å; angles 90.00, 90.00, 90.00 degrees
Last column: nearest neighbours and their distance in Å.
Space group P4/nmm (No. 129, origin choice 2)
Symmetry-distinct sites (fractional):
Ca1 0.2500 0.2500 0.1588  5 S 2.77-2.86
Zn1 0.2500 0.7500 0.5000  4 Zn 2.77
S1 0.2500 0.2500 0.8355  5 Ca 2.77-2.86



[9]
Here is crystalline Ti2BCl at its relaxed geometry from Alexandria via LeMat-Bulk. Energies are from PBE.

## Properties
E_form (uncorrected)   0.003 eV per atom
VASP energy   -6.08 eV/atom
Total magnetization   3.22 μB/cell

Cell lengths 5.9425, 5.9425, 5.9425 Å; angles 90.00, 90.00, 90.00 degrees
Last column: nearest neighbours and their distance in Å.
Space group Fm-3m (No. 225)
Symmetry-distinct sites (fractional):
Ti1 0.2500 0.2500 0.2500  4 Cl 2.57, 4 B 2.57
B1 0.0000 0.0000 0.0000  8 Ti 2.57
Cl1 0.0000 0.0000 0.5000  8 Ti 2.57



[10]
Here is crystalline Ca2P4Rh3 at its relaxed geometry from Alexandria via LeMat-Bulk. Energies are from PBE.

## Properties
DFT formation energy   -0.7440 eV per atom
VASP energy   -6.04 eV/atom
Total magnetization   0.00 μB/cell

Cell lengths 5.5892, 9.8639, 11.5417 Å; angles 90.00, 90.00, 90.00 degrees
Last column: nearest neighbours and their distance in Å.
Space group Fmmm (No. 69)
Symmetry-distinct sites (fractional):
Ca1 0.0000 0.0000 0.1437  2 P 2.88
P1 0.0000 0.1676 0.3485  3 Rh 2.38-2.41
Rh1 0.0000 0.0000 0.5000  4 P 2.41
Rh2 0.2500 0.2500 0.0000  4 P 2.38



[11]
Here is crystalline K2NiOs at its relaxed geometry from Alexandria via LeMat-Bulk. Energies are from PBE.

## Properties
DFT formation energy   1.2528 eV per atom
VASP energy   -3.55 eV/atom
Total magnetization   0.52 μB/cell

Cell lengths 2.7140, 5.5557, 5.1190 Å; angles 90.00, 94.69, 90.00 degrees
Last column: nearest neighbours and their distance in Å.
Space group P2/m (No. 10)
Symmetry-distinct sites (fractional):
K1 0.2169 0.0000 0.2549  5 K 2.71-2.86
Ni1 0.0000 0.5000 0.5000  2 Ni 2.71, 4 Os 2.80-2.99
Os1 0.5000 0.5000 0.0000  2 Os 2.71, 4 Ni 2.80-2.99



[12]
Here is crystalline AcLaAl2Si2 at its relaxed geometry from Alexandria via LeMat-Bulk. Energies are from PBE.

## Properties
E_form (uncorrected)   -0.618 eV per atom
VASP energy   -5.18 eV/atom
Total magnetization   0.00 μB/cell

Cell lengths 4.2702, 4.2702, 9.0820 Å; angles 90.00, 90.00, 120.00 degrees
Last column: nearest neighbours and their distance in Å.
Space group P-3m1 (No. 164)
Symmetry-distinct sites (fractional):
Ac1 0.0000 0.0000 0.0000  6 Al 3.40, 6 Si 3.43
La1 0.0000 0.0000 0.5000  6 Si 3.28, 6 Al 3.30
Al1 0.3333 0.6667 0.7423  3 Si 2.47
Si1 0.3333 0.6667 0.2621  3 Al 2.47



[13]
Here is crystalline MgMnMoH at its relaxed geometry from Alexandria via LeMat-Bulk. Energies are from PBE.

## Properties
VASP energy   -6.02 eV/atom
Total magnetization   5.22 μB/cell

Cell lengths 4.5148, 3.2957, 7.1013 Å; angles 90.00, 106.57, 90.00 degrees
Last column: nearest neighbours and their distance in Å.
Space group Cm (No. 8)
Symmetry-distinct sites (fractional):
Mg1 0.0000 0.0000 0.0000  3 H 1.89-1.97
Mn1 0.1246 0.5000 0.3357  2 Mo 2.54, 4 Mn 2.79, 2 Mg 2.82
Mo1 0.2537 0.0000 0.6193  1 H 1.79
H1 0.3463 0.0000 0.8824  1 Mo 1.79, 3 Mg 1.89-1.97